1.
A plane-wave DFT calculation with PBE was carried out for crystalline NdDy6Th8 at its relaxed geometry.

Results
The value obtained for the magnetic moment is 0.00 Bohr magnetons per cell. Its total energy is -0.220 Ha/atom.

abc: 8.8364 8.8364 21.5628
angles: 90.00 90.00 120.00
Space group R-3 (No. 148, hexagonal axes)
Symmetry-distinct sites (fractional):
Nd 0.0000 0.0000 0.0000 [3 per cell]
Dy 0.0187 0.7772 0.7086 [18 per cell]
Th 0.0000 0.0000 0.4227 [6 per cell]
Th 0.0562 0.2566 0.1363 [18 per cell]



2.
A plane-wave DFT calculation with PBE was carried out for crystalline KLaBe2 at its relaxed geometry.

Results
The value obtained for the magnetic moment is 0.00 Bohr magnetons per cell. The relative energy among the computed polymorphs comes out at 0.1408 eV per atom.

abc: 3.625 4.071 8.353
angles: 90.00 102.46 90.00
Space group Pm (No. 6)
Symmetry-distinct sites (fractional):
K 0.000 0.000 0.000 [1 per cell]
La 0.737 0.500 0.473 [1 per cell]
Be 0.326 0.000 0.652 [1 per cell]
Be 0.366 0.500 0.731 [1 per cell]



3.
A plane-wave DFT calculation with PBE was carried out for crystalline KP2Ir3 at its relaxed geometry.

Results
The value obtained for the magnetic moment is 0.00 Bohr magnetons per cell. Its total energy is -0.250 Ha/atom.

abc: 14.790 3.945 8.626
angles: 90.00 113.35 90.00
Space group C2/m (No. 12)
Symmetry-distinct sites (fractional):
K 0.145 0.000 0.054 [4 per cell]
P 0.024 0.500 0.225 [4 per cell]
P 0.182 0.000 0.651 [4 per cell]
Ir 0.045 0.000 0.388 [4 per cell]
Ir 0.098 0.500 0.656 [4 per cell]
Ir 0.186 0.500 0.423 [4 per cell]



4.
A plane-wave DFT calculation with PBE was carried out for crystalline La5PmNd3 at its relaxed geometry.

Results
The value obtained for the magnetic moment is 0.00 Bohr magnetons per cell. The relative energy among the computed polymorphs comes out at 0.0000 eV per atom.

abc: 19.147 6.660 11.641
angles: 90.00 114.84 90.00
Space group C2/c (No. 15)
Symmetry-distinct sites (fractional):
La 0.000 0.091 0.250 [4 per cell]
La 0.167 0.192 0.713 [8 per cell]
La 0.170 0.320 0.363 [8 per cell]
Pm 0.000 0.370 0.750 [4 per cell]
Nd 0.000 0.500 0.000 [4 per cell]
Nd 0.161 0.204 0.015 [8 per cell]



5.
A plane-wave DFT calculation with PBE was carried out for crystalline NaPrSmSn at its relaxed geometry.

Results
The value obtained for the magnetic moment is 0.01 Bohr magnetons per cell. Its total energy is -0.148 Ha/atom.

abc: 7.748 7.748 7.748
angles: 90.00 90.00 90.00
Space group F-43m (No. 216)
Symmetry-distinct sites (fractional):
Na 0.000 0.000 0.000 [4 per cell]
Pr 0.250 0.250 0.750 [4 per cell]
Sm 0.250 0.250 0.250 [4 per cell]
Sn 0.000 0.000 0.500 [4 per cell]



6.
A plane-wave DFT calculation with PBE was carried out for crystalline Sc2MnPb2 at its relaxed geometry.

Results
The value obtained for the magnetic moment is 0.00 Bohr magnetons per cell. Its total energy is -0.211 Ha/atom.

abc: 7.138 7.138 4.321
angles: 90.00 90.00 90.00
Space group P4/mbm (No. 127)
Symmetry-distinct sites (fractional):
Sc 0.165 0.335 0.000 [4 per cell]
Mn 0.000 0.000 0.500 [2 per cell]
Pb 0.149 0.649 0.500 [4 per cell]



7.
A plane-wave DFT calculation with PBE was carried out for crystalline Ca2La2Cd at its relaxed geometry.

Results
The value obtained for the magnetic moment is 0.00 Bohr magnetons per cell. The relative energy among the computed polymorphs comes out at 0.0000 eV per atom.

abc: 3.783 3.783 24.192
angles: 90.00 90.00 90.00
Space group I4/mmm (No. 139)
Symmetry-distinct sites (fractional):
Ca 0.000 0.000 0.080 [4 per cell]
La 0.000 0.000 0.300 [4 per cell]
Cd 0.000 0.000 0.500 [2 per cell]



8.
A plane-wave DFT calculation with PBE was carried out for crystalline HoTlGeBr6 at its relaxed geometry.

Results
The value obtained for the magnetic moment is 0.00 Bohr magnetons per cell. The value obtained for the energy relative to the elements, uncorrected is -1.227 eV/atom.

abc: 7.2970 7.2970 7.2982
angles: 90.00 90.00 120.00
Space group P312 (No. 149)
Symmetry-distinct sites (fractional):
Ho 0.0000 0.0000 0.0000 [1 per cell]
Tl 0.3333 0.6667 0.5000 [1 per cell]
Ge 0.6667 0.3333 0.0000 [1 per cell]
Br 0.3304 0.0337 0.2202 [6 per cell]



9.
A plane-wave DFT calculation with PBE was carried out for crystalline MgGaTe2 at its relaxed geometry.

Results
The value obtained for the magnetic moment is 0.00 Bohr magnetons per cell. The value obtained for the energy relative to the elements, uncorrected is -0.423 eV/atom.

abc: 6.465 6.465 13.605
angles: 90.00 90.00 90.00
Space group I-42d (No. 122)
Symmetry-distinct sites (fractional):
Mg 0.000 0.000 0.000 [4 per cell]
Ga 0.000 0.000 0.500 [4 per cell]
Te 0.250 0.250 0.125 [8 per cell]



10.
A plane-wave DFT calculation with PBE was carried out for crystalline IrCl at its relaxed geometry.

Results
The value obtained for the magnetic moment is 0.00 Bohr magnetons per cell. The value obtained for the energy relative to the elements, uncorrected is 0.752 eV/atom. The relative energy among the computed polymorphs comes out at 0.6175 eV per atom.

abc: 5.110 10.116 2.858
angles: 90.00 90.00 90.00
Space group Cmcm (No. 63)
Symmetry-distinct sites (fractional):
Ir 0.000 0.103 0.250 [4 per cell]
Cl 0.000 0.331 0.250 [4 per cell]



11.
A plane-wave DFT calculation with PBE was carried out for crystalline TePdSN2 at its relaxed geometry.

Results
The value obtained for the magnetic moment is 3.59 Bohr magnetons per cell. The value obtained for the energy relative to the elements, uncorrected is 1.377 eV/atom. The relative energy among the computed polymorphs comes out at 0.0000 eV per atom.

abc: 3.946 3.946 5.956
angles: 90.00 90.00 90.00
Space group P4/mmm (No. 123)
Symmetry-distinct sites (fractional):
Te 0.000 0.000 0.000 [1 per cell]
Pd 0.000 0.000 0.500 [1 per cell]
S 0.500 0.500 0.000 [1 per cell]
N 0.000 0.500 0.500 [2 per cell]



12.
A plane-wave DFT calculation with PBE was carried out for crystalline Tc2TeIr at its relaxed geometry.

Results
The value obtained for the magnetic moment is 0.00 Bohr magnetons per cell. The value obtained for the energy relative to the elements, uncorrected is 0.360 eV/atom.

abc: 6.517 6.526 3.022
angles: 90.00 90.00 90.00
Space group Cmmm (No. 65)
Symmetry-distinct sites (fractional):
Tc 0.250 0.250 0.000 [4 per cell]
Te 0.000 0.000 0.500 [2 per cell]
Ir 0.000 0.500 0.500 [2 per cell]